# PuCu3Ge2

A relaxed structure of PuCu3Ge2 (PBE, Alexandria).

Output
DFT formation energy = -0.12 eV/atom
Magnetization = 5.1 μB per formula unit
Space group = No. 71

a b c (Å): 7.782 7.782 7.782
angles (deg): 148.47 124.10 65.60
Sites, in units of the cell vectors:
Pu 0.866 0.366 0.500
Pu 0.134 0.634 0.500
Ge 0.687 0.687 0.000
Ge 0.825 0.000 0.825
Ge 0.313 0.313 0.000
Ge 0.175 0.000 0.175
Cu 0.131 0.826 0.305
Cu 0.479 0.174 0.305
Cu 0.869 0.174 0.695
Cu 0.663 0.500 0.163
Cu 0.521 0.826 0.695
Cu 0.337 0.500 0.837

=====

# Pu5CuGe4

A relaxed structure of Pu5CuGe4 (PBE, Alexandria).

Output
DFT formation energy = -0.35 eV/atom
Magnetization = 26.5 μB per formula unit
Space group = No. 123

a b c (Å): 3.856 3.856 14.222
angles (deg): 90.00 90.00 90.00
Sites, in units of the cell vectors:
Cu 0.000 0.000 0.000
Pu 0.500 0.500 0.298
Pu 0.500 0.500 0.702
Pu 0.500 0.500 0.899
Pu 0.500 0.500 0.101
Pu 0.500 0.500 0.500
Ge 0.000 0.000 0.397
Ge 0.000 0.000 0.804
Ge 0.000 0.000 0.603
Ge 0.000 0.000 0.196

=====

Which value of magnetization does entry 2 give? 26.5 μB per formula unit

=====

DFT formation energy of number 1 (PuCu3Ge2)? -0.12 eV/atom